GGA-PBEsol MoN, optimized geometry; DOS(E_F) = 6.4 states/eV/cell; uncorrected formation energy = -0.649 eV per atom; theoretical density = 9.30 g cm⁻³; uncorrected energy = -172.74 eV per cell
1.0
-2.014 4.820 2.069
-3.834 -2.900 3.025
5.089 1.167 2.236
N Mo
8 8
direct
0.006 0.333 0.167
0.506 0.167 0.333
0.006 0.833 0.167
0.982 0.333 0.667
0.482 0.667 0.333
0.506 0.167 0.833
0.506 0.667 0.833
0.006 0.833 0.667
0.752 0.510 0.490
0.744 0.000 0.000
0.244 0.000 0.000
0.252 0.021 0.510
0.752 0.979 0.490
0.252 0.490 0.510
0.752 0.510 0.021
0.252 0.490 0.979